No. 1
Compound: Ba2SrRuBr
Source: Alexandria via LeMat-Bulk
Functional: PBE
Structure: optimized geometry

```
Ba2SrRuBr
1.0
-1.551 -1.695 -5.475
-5.327 -1.526 1.982
-1.991 5.478 -1.132
Ba Ru Sr Br
2 1 1 1
Direct
0.000 0.000 0.500
0.500 0.000 0.000
0.000 0.000 0.000
0.000 0.500 0.000
0.500 0.500 0.500
```

## Properties
The value obtained for the formation energy without anion corrections is -0.25 eV per atom. Its space group is P4/mmm, No. 123. The calculation puts the size of the total moment at 0.0 μB/f.u.

---

No. 2
Compound: BaTl2RuBr8
Source: Alexandria via LeMat-Bulk
Functional: PBE
Structure: optimized geometry

```
BaTl2RuBr8
1.0
-2.366 -3.062 -5.215
7.924 2.859 -0.797
3.177 -7.908 3.203
Br Tl Ba Ru
8 2 1 1
Direct
0.585 0.825 0.000
0.960 0.200 0.804
0.959 0.200 0.196
0.464 0.736 0.500
0.041 0.800 0.804
0.040 0.800 0.196
0.415 0.175 0.000
0.536 0.264 0.500
0.500 0.500 0.240
0.500 0.500 0.760
0.000 0.000 0.500
0.000 0.000 0.000
```

## Properties
The value obtained for the formation energy without anion corrections is -0.90 eV per atom. Its space group is P2/m, No. 10. The calculation puts the size of the total moment at 2.0 μB/f.u.

---

No. 3
Compound: Ba4SBr5
Source: Alexandria via LeMat-Bulk
Functional: PBE
Structure: optimized geometry

```
Ba4SBr5
1.0
-2.623 2.871 2.927
-6.740 -5.404 -0.738
7.730 -3.548 6.360
Br Ba S
5 4 1
Direct
0.828 0.086 0.655
0.172 0.431 0.345
0.172 0.914 0.345
0.500 0.500 0.000
0.828 0.569 0.655
0.678 0.178 0.356
0.000 0.762 0.000
0.000 0.238 0.000
0.322 0.822 0.644
0.500 0.000 0.000
```

## Properties
The value obtained for the formation energy without anion corrections is -2.02 eV per atom. Its space group is Immm, No. 71. The calculation puts the size of the total moment at 0.0 μB/f.u.

---

No. 4
Compound: BaS2Br
Source: Alexandria via LeMat-Bulk
Functional: PBE
Structure: optimized geometry

```
BaS2Br
1.0
-4.156 6.660 0.947
-4.391 3.989 5.228
-0.269 6.711 4.172
Br S Ba
1 2 1
Direct
0.000 0.000 0.000
0.889 0.889 0.889
0.111 0.111 0.111
0.500 0.500 0.500
```

## Properties
The value obtained for the formation energy without anion corrections is -0.74 eV per atom. For the energy above the most stable polymorph in this dataset, the calculation gives 366 meV/atom. Its space group is R-3m, No. 166. The calculation puts the size of the total moment at 1.0 μB/f.u.

---

No. 5
Compound: BaSBr
Source: Alexandria via LeMat-Bulk
Functional: PBE
Structure: optimized geometry

```
BaSBr
1.0
4.451 0.000 -0.931
-0.309 6.134 -1.478
-0.546 -1.234 8.492
Br S Ba
2 2 2
Direct
0.791 0.791 0.581
0.209 0.209 0.419
0.500 0.668 0.000
0.500 0.332 0.000
0.134 0.634 0.268
0.866 0.366 0.732
```

## Properties
The value obtained for the formation energy without anion corrections is -1.80 eV per atom. Its space group is Immm, No. 71. The calculation puts the size of the total moment at 0.0 μB/f.u.

---

No. 6
Compound: BaS2Br
Source: Alexandria via LeMat-Bulk
Functional: PBE
Structure: optimized geometry

```
BaS2Br
1.0
4.962 0.000 0.000
0.000 7.933 -3.449
0.000 -0.064 8.651
Ba S Br
2 4 2
Direct
0.500 0.260 0.260
0.000 0.740 0.740
0.442 0.867 0.062
0.058 0.938 0.133
0.942 0.133 0.938
0.558 0.062 0.867
0.250 0.375 0.625
0.750 0.625 0.375
```

## Properties
The value obtained for the formation energy without anion corrections is -1.11 eV per atom. For the energy above the most stable polymorph in this dataset, the calculation gives 0 meV/atom. Its space group is C222_1, No. 20. The calculation puts the size of the total moment at 0.0 μB/f.u.

---

So what do the calculations give for ρ? Going down the list: 4.35, 4.72, 4.11, 2.88, 3.76, 2.75 Mg/m³.